Below is crystalline DyY2Er2Tm2Ni2Se2 at its relaxed geometry, with properties calculated at the PBE-GGA level.

Values from the calculation:
Magnetic moment (Bohr magnetons per cell): 0.00
VASP energy (eV per atom): -5.71

a = 9.028 Å, b = 9.028 Å, c = 9.028 Å
α = 155.75°, β = 67.24°, γ = 118.37°
Positions (direct):
Dy 0.000 0.000 0.000
Y 0.616 0.257 0.359
Y 0.898 0.257 0.641
Er 0.286 0.412 0.874
Er 0.537 0.412 0.126
Tm 0.299 0.616 0.683
Tm 0.933 0.616 0.317
Ni 0.166 0.926 0.240
Ni 0.685 0.926 0.760
Se 0.258 0.758 0.500
Se 0.659 0.659 0.000